<A>
The following is a DFT calculation (PBE-GGA) of crystalline Pm2Y2Sc at its relaxed geometry.

Values from the calculation:
Volume ... 317.78 Å³/cell
Space-group type ... No. 15

Geometry as POSCAR:
```
Pm2Y2Sc
1.0
5.9301 -3.1197 0.0000
5.9301 3.1197 0.0000
-3.1728 0.0000 8.5888
Pm Y Sc
4 4 2
Direct
0.0777 0.7315 0.5502
0.2685 0.9223 0.9498
0.7315 0.0777 0.0502
0.9223 0.2685 0.4498
0.1372 0.4557 0.8494
0.4557 0.1372 0.3494
0.5443 0.8628 0.6506
0.8628 0.5443 0.1506
0.3335 0.6665 0.2500
0.6665 0.3335 0.7500
```



<B>
The following is a DFT calculation (PBE-GGA) of crystalline Pm2Y2Sc at its relaxed geometry.

Values from the calculation:
Volume ... 318.70 Å³/cell
Space-group type ... No. 12

Geometry as POSCAR:
```
Pm2Y2Sc
1.0
4.3778 -4.7108 0.0000
4.3778 4.7108 0.0000
-3.9820 0.0000 7.7268
Pm Y Sc
4 4 2
Direct
0.1143 0.7453 0.7865
0.2547 0.8857 0.2135
0.7453 0.1143 0.7865
0.8857 0.2547 0.2135
0.2122 0.2122 0.6165
0.3425 0.3425 0.0788
0.6575 0.6575 0.9212
0.7878 0.7878 0.3835
0.3419 0.6581 0.5000
0.6581 0.3419 0.5000
```



Stability check: which of them is least stable? <B>.



<A>
The following is a DFT calculation (PBE-GGA) of crystalline Pm7Y3Sc at its relaxed geometry.

Values from the calculation:
Volume ... 381.02 Å³/cell
Space-group type ... No. 156

Geometry as POSCAR:
```
Pm7Y3Sc
1.0
7.1212 0.0000 0.0000
-3.5606 6.1672 0.0000
0.0000 0.0000 8.6757
Pm Y Sc
7 3 1
Direct
0.0000 0.0000 0.0000
0.1658 0.3315 0.6699
0.1658 0.8342 0.6699
0.5016 0.0032 0.0068
0.5016 0.4984 0.0068
0.6685 0.8342 0.6699
0.9968 0.4984 0.0068
0.3362 0.1681 0.3433
0.8319 0.1681 0.3433
0.8319 0.6638 0.3433
0.6667 0.3333 0.6776
```



<B>
The following is a DFT calculation (PBE-GGA) of crystalline Pm7Y3Sc at its relaxed geometry.

Values from the calculation:
Volume ... 763.87 Å³/cell
Space-group type ... No. 9

Geometry as POSCAR:
```
Pm7Y3Sc
1.0
9.5632 -3.5420 0.0000
9.5632 3.5420 0.0000
-5.7462 0.0000 11.2754
Pm Y Sc
14 6 2
Direct
0.0009 0.9991 0.5000
0.1735 0.5147 0.9741
0.2660 0.7511 0.7474
0.2667 0.7550 0.2505
0.4207 0.9396 0.7029
0.4247 0.9306 0.1983
0.5147 0.1735 0.4741
0.6862 0.6923 0.9506
0.6923 0.6862 0.4506
0.7511 0.2660 0.2474
0.7550 0.2667 0.7505
0.9306 0.4247 0.6983
0.9396 0.4207 0.2029
0.9991 0.0009 0.0000
0.1686 0.1717 0.9540
0.1717 0.1686 0.4540
0.5167 0.5189 0.4948
0.5189 0.5167 0.9948
0.8415 0.8478 0.7257
0.8478 0.8415 0.2257
0.3416 0.3467 0.7236
0.3467 0.3416 0.2236
```



Stability check: which of them is least stable? <B>.



<A>
The following is a DFT calculation (PBE-GGA) of crystalline PmY2Sc at its relaxed geometry.

Values from the calculation:
Volume ... 123.14 Å³/cell
Space-group type ... No. 123

Geometry as POSCAR:
```
PmY2Sc
1.0
3.5254 0.0000 0.0000
0.0000 3.5254 0.0000
0.0000 0.0000 9.9075
Pm Y Sc
1 2 1
Direct
0.0000 0.0000 0.0000
0.5000 0.5000 0.2642
0.5000 0.5000 0.7358
0.0000 0.0000 0.5000
```



<B>
The following is a DFT calculation (PBE-GGA) of crystalline PmY2Sc at its relaxed geometry.

Values from the calculation:
Volume ... 124.33 Å³/cell
Space-group type ... No. 8

Geometry as POSCAR:
```
PmY2Sc
1.0
6.3884 -1.7991 0.0000
6.3884 1.7991 0.0000
-2.9746 0.0000 5.4085
Pm Y Sc
1 2 1
Direct
0.0000 0.0000 0.0000
0.5134 0.5134 0.5118
0.7572 0.7572 0.4128
0.2566 0.2566 0.9189
```



<C>
The following is a DFT calculation (PBE-GGA) of crystalline PmY2Sc at its relaxed geometry.

Values from the calculation:
Volume ... 124.31 Å³/cell
Space-group type ... No. 225

Geometry as POSCAR:
```
PmY2Sc
1.0
0.0000 3.9612 3.9612
3.9612 0.0000 3.9612
3.9612 3.9612 0.0000
Pm Y Sc
1 2 1
Direct
0.0000 0.0000 0.0000
0.2500 0.2500 0.2500
0.7500 0.7500 0.7500
0.5000 0.5000 0.5000
```



Stability check: which of them is least stable? <C>.